Entry 1:
The following is a DFT calculation (PBE) of an optimized crystal structure of Mg3NbBi.

The structure belongs to space group Pm-3m (No. 221); the cell edges are 5.354, 5.354 and 5.354 Å and the angles 90.00°, 90.00° and 90.00°. The asymmetric unit holds Mg at (0.000, 0.000, 0.500), Nb at (0.000, 0.000, 0.000) and Bi at (0.500, 0.500, 0.500).

The value obtained for the formation enthalpy at 0 K is 1.02 eV/atom. As for the uncorrected energy: -2.72 eV per atom. For the volume, the calculation gives 153 Å³ per cell. The density of states at the Fermi level is 0.82 states/eV per atom.

=====

Entry 2:
The following is a DFT calculation (PBE) of an optimized crystal structure of Mg2NbBi.

The structure belongs to space group I-42d (No. 122); the cell edges are 8.162, 8.162 and 5.722 Å and the angles 90.00°, 90.00° and 90.00°. The asymmetric unit holds Mg at (0.247, 0.750, 0.125), Nb at (0.000, 0.000, 0.000) and Bi at (0.000, 0.000, 0.500).

The value obtained for the formation enthalpy at 0 K is 0.52 eV/atom. As for the uncorrected energy: -3.77 eV per atom. For the volume, the calculation gives 381 Å³ per cell. The density of states at the Fermi level is 0.75 states/eV per atom.

=====

Entry 3:
The following is a DFT calculation (PBE) of an optimized crystal structure of Mg2NbBi2.

The structure belongs to space group P4/mbm (No. 127); the cell edges are 7.621, 7.621 and 4.274 Å and the angles 90.00°, 90.00° and 90.00°. The asymmetric unit holds Mg at (0.157, 0.343, 0.000), Nb at (0.000, 0.000, 0.500) and Bi at (0.153, 0.653, 0.500).

The value obtained for the formation enthalpy at 0 K is 0.20 eV/atom. As for the uncorrected energy: -4.00 eV per atom. For the volume, the calculation gives 248 Å³ per cell. The density of states at the Fermi level is 0.50 states/eV per atom.

=====

Entry 4:
The following is a DFT calculation (PBE) of an optimized crystal structure of Mg2NbBi2.

The structure belongs to space group I4/mmm (No. 139); the cell edges are 3.836, 3.836 and 17.370 Å and the angles 90.00°, 90.00° and 90.00°. The asymmetric unit holds Mg at (0.000, 0.500, 0.250), Nb at (0.000, 0.000, 0.000) and Bi at (0.000, 0.000, 0.408).

The value obtained for the formation enthalpy at 0 K is 0.37 eV/atom. As for the uncorrected energy: -3.84 eV per atom. For the volume, the calculation gives 256 Å³ per cell. The density of states at the Fermi level is 0.61 states/eV per atom.

=====

Entry 5:
The following is a DFT calculation (PBE) of an optimized crystal structure of Mg2NbBi.

The structure belongs to space group R-3m (No. 166, hexagonal axes); the cell edges are 3.1759, 3.1759 and 33.7759 Å and the angles 90.00°, 90.00° and 120.00°. The asymmetric unit holds Mg at (0.0000, 0.0000, 0.0837), Nb at (0.0000, 0.0000, 0.0000) and Bi at (0.0000, 0.0000, 0.5000).

The value obtained for the formation enthalpy at 0 K is 0.56 eV/atom. As for the uncorrected energy: -3.72 eV per atom. For the volume, the calculation gives 295 Å³ per cell. The density of states at the Fermi level is 1.16 states/eV per atom.

=====

Entry 6:
The following is a DFT calculation (PBE) of an optimized crystal structure of MgNbBi2O6.

The structure belongs to space group P2_1/c (No. 14); the cell edges are 5.656, 5.805 and 9.689 Å and the angles 90.00°, 123.47° and 90.00°. The asymmetric unit holds Mg at (0.000, 0.000, 0.000), Nb at (0.500, 0.000, 0.500), Bi at (0.230, 0.066, 0.729), O at (0.151, 0.030, 0.252), O at (0.197, 0.681, 0.021) and O at (0.364, 0.217, 0.058).

As for the uncorrected energy: -6.76 eV per atom. The formation energy from raw total energies is -18.451 eV per formula unit. For the volume, the calculation gives 265 Å³ per cell. The density of states at the Fermi level is 0.17 states/eV per atom.

=====

Entry 7:
The following is a DFT calculation (PBE) of an optimized crystal structure of Mg2Nb3Bi3O14.

The structure belongs to space group R-3m (No. 166, hexagonal axes); the cell edges are 7.5455, 7.5455 and 17.7253 Å and the angles 90.00°, 90.00° and 120.00°. The asymmetric unit holds Mg at (0.0000, 0.0000, 0.0000), Mg at (0.0000, 0.0000, 0.5000), Nb at (0.0000, 0.5000, 0.0000), Bi at (0.0000, 0.5000, 0.5000), O at (0.0000, 0.0000, 0.1114), O at (0.0438, 0.5219, 0.1109) and O at (0.0714, 0.5357, 0.3530).

As for the uncorrected energy: -7.33 eV per atom. The formation energy from raw total energies is -46.701 eV per formula unit. For the volume, the calculation gives 874 Å³ per cell. The density of states at the Fermi level is 0.00 states/eV per atom.

=====

Entry 8:
The following is a DFT calculation (PBE) of an optimized crystal structure of Mg6NbBiO8.

The structure belongs to space group P4/mmm (No. 123); the cell edges are 4.565, 4.565 and 9.114 Å and the angles 90.00°, 90.00° and 90.00°. The asymmetric unit holds Mg at (0.000, 0.000, 0.000), Mg at (0.000, 0.000, 0.500), Mg at (0.000, 0.500, 0.238), Nb at (0.500, 0.500, 0.000), Bi at (0.500, 0.500, 0.500), O at (0.000, 0.000, 0.249), O at (0.000, 0.500, 0.000), O at (0.000, 0.500, 0.500) and O at (0.500, 0.500, 0.240).

As for the uncorrected energy: -5.85 eV per atom. The formation energy from raw total energies is -30.434 eV per formula unit. For the volume, the calculation gives 190 Å³ per cell. The density of states at the Fermi level is 0.20 states/eV per atom.

=====

Entry 9:
The following is a DFT calculation (PBE) of an optimized crystal structure of Mg2Nb2BiO8.

The structure belongs to space group C2/c (No. 15); the cell edges are 20.525, 6.032 and 5.343 Å and the angles 90.00°, 92.31° and 90.00°. The asymmetric unit holds Mg at (0.230, 0.144, 0.240), Nb at (0.124, 0.326, 0.720), Bi at (0.000, 0.206, 0.250), O at (0.063, 0.102, 0.606), O at (0.075, 0.426, 0.015), O at (0.189, 0.392, 0.443) and O at (0.196, 0.141, 0.876).

As for the uncorrected energy: -7.45 eV per atom. The formation energy from raw total energies is -29.941 eV per formula unit. For the volume, the calculation gives 661 Å³ per cell. The density of states at the Fermi level is 0.29 states/eV per atom.

=====

Entry 10:
The following is a DFT calculation (PBE) of an optimized crystal structure of Mg6NbBiO8.

The structure belongs to space group P4/mmm (No. 123); the cell edges are 4.589, 4.589 and 8.897 Å and the angles 90.00°, 90.00° and 90.00°. The asymmetric unit holds Mg at (0.000, 0.000, 0.000), Mg at (0.000, 0.500, 0.232), Mg at (0.500, 0.500, 0.000), Nb at (0.000, 0.000, 0.500), Bi at (0.500, 0.500, 0.500), O at (0.000, 0.000, 0.236), O at (0.000, 0.500, 0.000), O at (0.000, 0.500, 0.500) and O at (0.500, 0.500, 0.225).

As for the uncorrected energy: -5.89 eV per atom. The formation energy from raw total energies is -31.041 eV per formula unit. For the volume, the calculation gives 187 Å³ per cell. The density of states at the Fermi level is 0.18 states/eV per atom.